Li15Mg4In: optimized geometry, PBE.

Calculated values
Magnetic moment: 0.0 μB per cell
Raw total energy: -0.0718 hartree per atom
SG: No. 123
DOS at the Fermi energy: 0.424 states/eV/atom
ΔE_f: -1.25 eV/f.u.

a = 4.2558 Å, b = 4.2558 Å, c = 21.8262 Å
α = 90.00°, β = 90.00°, γ = 90.00°
Fractional coordinates of all 20 atoms:
Li1 0.0000 0.0000 0.0000
Li2 0.0000 0.0000 0.1957
Li3 0.0000 0.0000 0.3979
Li4 0.0000 0.0000 0.6021
Li5 0.0000 0.0000 0.8043
Li6 0.0000 0.5000 0.0939
Li7 0.0000 0.5000 0.2966
Li8 0.0000 0.5000 0.5000
Li9 0.0000 0.5000 0.7034
Li10 0.0000 0.5000 0.9061
Li11 0.5000 0.0000 0.0939
Li12 0.5000 0.0000 0.2966
Li13 0.5000 0.0000 0.5000
Li14 0.5000 0.0000 0.7034
Li15 0.5000 0.0000 0.9061
Mg1 0.5000 0.5000 0.1948
Mg2 0.5000 0.5000 0.3987
Mg3 0.5000 0.5000 0.6013
Mg4 0.5000 0.5000 0.8052
In1 0.5000 0.5000 0.0000

LiMg2In: optimized geometry, PBE.

Calculated values
Magnetic moment: 0.0 μB per cell
Raw total energy: -0.0764 hartree per atom
SG: No. 71
DOS at the Fermi energy: 0.347 states/eV/atom
ΔE_f: -0.47 eV/f.u.

a = 5.6533 Å, b = 5.6533 Å, c = 5.6533 Å
α = 141.13°, β = 129.90°, γ = 65.16°
Fractional coordinates of all 4 atoms:
Li1 0.0000 0.0000 0.0000
Mg1 0.2425 0.7425 0.5000
Mg2 0.7575 0.2575 0.5000
In1 0.5000 0.5000 0.0000

LiMg14In: optimized geometry, PBE.

Calculated values
Magnetic moment: 0.0 μB per cell
Raw total energy: -0.0627 hartree per atom
SG: No. 123
DOS at the Fermi energy: 0.340 states/eV/atom
ΔE_f: -0.33 eV/f.u.

a = 6.5139 Å, b = 6.5139 Å, c = 8.5994 Å
α = 90.00°, β = 90.00°, γ = 90.00°
Fractional coordinates of all 16 atoms:
Li1 0.0000 0.0000 0.0000
Mg1 0.0000 0.0000 0.5000
Mg2 0.0000 0.5000 0.0000
Mg3 0.0000 0.5000 0.5000
Mg4 0.2478 0.2478 0.2473
Mg5 0.2478 0.2478 0.7527
Mg6 0.2478 0.7522 0.2473
Mg7 0.2478 0.7522 0.7527
Mg8 0.5000 0.0000 0.0000
Mg9 0.5000 0.0000 0.5000
Mg10 0.5000 0.5000 0.5000
Mg11 0.7522 0.2478 0.2473
Mg12 0.7522 0.2478 0.7527
Mg13 0.7522 0.7522 0.2473
Mg14 0.7522 0.7522 0.7527
In1 0.5000 0.5000 0.0000

LiMg3In2: optimized geometry, PBE.

Calculated values
Magnetic moment: 0.0 μB per cell
Raw total energy: -0.0791 hartree per atom
SG: No. 65
DOS at the Fermi energy: 0.387 states/eV/atom
ΔE_f: -0.73 eV/f.u.

a = 7.0842 Å, b = 7.0842 Å, c = 4.4233 Å
α = 90.00°, β = 90.00°, γ = 143.39°
Fractional coordinates of all 6 atoms:
Li1 0.0000 0.0000 0.0000
Mg1 0.1660 0.8340 0.5000
Mg2 0.5000 0.5000 0.5000
Mg3 0.8340 0.1660 0.5000
In1 0.3374 0.6626 0.0000
In2 0.6626 0.3374 0.0000